1.
# TaAl2Pt

A PBEsol-optimized structure of TaAl2Pt (SCAN, Alexandria).

POSCAR file:
```
TaAl2Pt
1.0
3.738 0.000 0.000
0.000 4.036 0.000
0.000 0.000 4.036
Ta Al Pt
1 2 1
direct
0.500 0.000 0.000 Ta
0.000 0.000 0.500 Al
0.000 0.500 0.000 Al
0.500 0.500 0.500 Pt
```

Calculated values
VASP energy = -38.81 eV per atom

2.
# HgSeCl2

A PBEsol-optimized structure of HgSeCl2 (SCAN, Alexandria).

POSCAR file:
```
HgSeCl2
1.0
-2.051 -2.439 1.214
-1.818 -3.173 -4.657
2.949 -5.111 -0.495
Cl Hg Se
2 1 1
direct
0.692 0.308 0.308 Cl
0.308 0.692 0.692 Cl
0.500 0.000 0.000 Hg
0.000 0.500 0.500 Se
```

Calculated values
Energy above the lowest structure with this stoichiometry = 87.3 meV per atom